Compound: Cu3S2I
Source: Alexandria
Functional: GGA-PBE
Structure: optimized geometry

Uncorrected energy, eV for the cell shown: -46.308
Calculated volume, Å³ per cell: 247.2
ΔE_f (raw), eV/atom: -0.18

Structure (CIF):
```
data_Cu3S2I
_symmetry_space_group_name_H-M 'P 1'
_symmetry_Int_Tables_number 1
_symmetry_space_group_name_Hall 'P 1'
_cell_length_a 6.739
_cell_length_b 6.739
_cell_length_c 6.653
_cell_angle_alpha 99.31
_cell_angle_beta 99.31
_cell_angle_gamma 120.11
loop_
_atom_site_label
_atom_site_type_symbol
_atom_site_fract_x
_atom_site_fract_y
_atom_site_fract_z
Cu1 Cu 0.081 0.919 0.500
Cu2 Cu 0.159 0.702 0.994
Cu3 Cu 0.299 0.524 0.435
Cu4 Cu 0.524 0.299 0.935
Cu5 Cu 0.702 0.159 0.494
Cu6 Cu 0.919 0.081 0.000
S1 S 0.151 0.985 0.855
S2 S 0.320 0.838 0.351
S3 S 0.838 0.320 0.851
S4 S 0.985 0.151 0.355
I1 I 0.489 0.658 0.851
I2 I 0.658 0.489 0.351
```